# Ac2LaMoO8

Ac2LaMoO8 after structural relaxation (PBE+U, Alexandria).

Output
V in Å³/atom: 15.68
E_tot in eV/atom: -7.555
SG: P2/m
Total magnetic moment in μB/f.u.: 1.0

Unit cell a=4.505 b=5.642 c=7.433 alpha=90.00 beta=90.00 gamma=94.92
Site moments in Bohr magnetons follow the coordinates.
Fractional positions:
O 0.556 0.751 0.500  0.02
O 0.937 0.227 0.803  0.04
O 0.937 0.227 0.197  0.04
O 0.063 0.773 0.197  0.04
O 0.444 0.249 0.500  0.02
O 0.399 0.161 0.000  0.35
O 0.601 0.839 0.000  0.35
O 0.063 0.773 0.803  0.04
Mo 0.000 0.000 0.000  -0.05
La 0.000 0.000 0.500  0.00
Ac 0.500 0.500 0.758  0.01
Ac 0.500 0.500 0.242  0.01